1.
This record from Alexandria describes crystalline Mg2ReAg at its relaxed geometry. The functional is GGA-PBE.

The structure in extended XYZ format:
```
4
Lattice="-2.075 2.075 3.953 2.075 -2.075 3.953 2.075 2.075 -3.953" Properties=species:S:1:pos:R:3 pbc="T T T"
Mg 2.075 0.000 1.976
Mg 0.000 2.075 1.976
Re 0.000 0.000 0.000
Ag 0.000 0.000 3.953
```

SG: I4/mmm
Distance to the lowest polymorph of the same formula: 1.25 eV per formula unit

***

2.
This record from Alexandria describes crystalline Mg2ReAg at its relaxed geometry. The functional is GGA-PBE.

The structure in extended XYZ format:
```
4
Lattice="2.963 0.000 0.000 0.000 4.652 0.000 0.000 0.000 4.965" Properties=species:S:1:pos:R:3 pbc="T T T"
Mg 0.000 0.000 0.000
Mg 1.482 0.000 2.482
Re 0.000 2.326 2.482
Ag 1.482 2.326 0.000
```

SG: Pmmm
Distance to the lowest polymorph of the same formula: 1.20 eV per formula unit

***

3.
This record from Alexandria describes crystalline Mg2ReAg at its relaxed geometry. The functional is GGA-PBE.

The structure in extended XYZ format:
```
4
Lattice="2.789 0.000 0.000 0.000 4.097 0.000 -0.013 0.000 5.995" Properties=species:S:1:pos:R:3 pbc="T T T"
Mg 0.002 0.000 1.434
Mg 2.775 0.000 4.561
Re 1.394 2.048 0.000
Ag 1.388 2.048 2.997
```

SG: P2/m
Distance to the lowest polymorph of the same formula: 0.58 eV per formula unit

***

4.
This record from Alexandria describes crystalline Mg3ReAg at its relaxed geometry. The functional is GGA-PBE.

The structure in extended XYZ format:
```
5
Lattice="5.070 0.000 0.000 0.000 5.070 0.000 0.000 0.000 5.070" Properties=species:S:1:pos:R:3 pbc="T T T"
Mg 0.000 0.000 2.535
Mg 0.000 2.535 0.000
Mg 2.535 0.000 0.000
Re 0.000 0.000 0.000
Ag 2.535 2.535 2.535
```

SG: Pm-3m
Distance to the lowest polymorph of the same formula: 0.00 eV per formula unit

***

5.
This record from Alexandria describes crystalline Mg2ReAg at its relaxed geometry. The functional is GGA-PBE.

The structure in extended XYZ format:
```
4
Lattice="4.190 0.000 0.000 0.000 4.190 0.000 0.000 0.000 3.849" Properties=species:S:1:pos:R:3 pbc="T T T"
Mg 0.000 2.095 0.000
Mg 2.095 0.000 0.000
Re 0.000 0.000 1.924
Ag 2.095 2.095 1.924
```

SG: P4/mmm
Distance to the lowest polymorph of the same formula: 0.95 eV per formula unit

***

6.
This record from Alexandria describes crystalline Mg2ReAg at its relaxed geometry. The functional is GGA-PBE.

The structure in extended XYZ format:
```
4
Lattice="4.871 0.000 0.000 0.000 4.871 0.000 0.000 0.000 2.879" Properties=species:S:1:pos:R:3 pbc="T T T"
Mg 0.000 2.435 0.000
Mg 2.435 0.000 0.000
Re 0.000 0.000 1.439
Ag 2.435 2.435 1.439
```

SG: P4/mmm
Distance to the lowest polymorph of the same formula: 0.72 eV per formula unit

***

7.
This record from Alexandria describes crystalline MgReAg at its relaxed geometry. The functional is GGA-PBE.

The structure in extended XYZ format:
```
3
Lattice="2.821 0.000 0.000 -1.410 2.443 0.000 0.000 0.000 7.180" Properties=species:S:1:pos:R:3 pbc="T T T"
Mg 0.000 0.000 0.000
Re 1.410 0.814 2.339
Ag 0.000 1.629 4.789
```

SG: P3m1
Distance to the lowest polymorph of the same formula: 0.00 eV per formula unit

***

8.
This record from Alexandria describes crystalline MgReAg2 at its relaxed geometry. The functional is GGA-PBE.

The structure in extended XYZ format:
```
4
Lattice="2.716 0.000 0.000 0.000 4.311 0.000 0.000 0.000 5.791" Properties=species:S:1:pos:R:3 pbc="T T T"
Mg 0.000 0.000 0.000
Re 1.358 2.156 1.395
Ag 0.000 0.000 2.810
Ag 1.358 2.156 4.311
```

SG: Pmm2

***

no.,energy (eV/atom),energy of formation (eV per formula unit)
1,-4.18,1.77
2,-4.19,1.72
3,-4.35,1.10
4,-2.96,5.26
5,-4.25,1.47
6,-4.31,1.24
7,-5.30,0.98
8,-4.49,1.79